# LiFeF4, relaxed, DFT GGA+U
data_LiFeF4
_cell_length_a 12.647
_cell_length_b 3.908
_cell_length_c 6.784
_cell_angle_alpha 90.00
_cell_angle_beta 107.33
_cell_angle_gamma 90.00
_symmetry_space_group_name_H-M 'C 1 2/m 1'
_symmetry_Int_Tables_number 12
_symmetry_space_group_name_Hall '-C 2y'
loop_
_atom_site_label
_atom_site_fract_x
_atom_site_fract_y
_atom_site_fract_z
Li1 0.090 0.000 0.203
Fe1 0.193 0.000 0.780
F1 0.070 0.000 0.885
F2 0.123 0.000 0.502
F3 0.157 0.500 0.219
F4 0.218 0.500 0.854
# **Electronic total energy**: -122.12 eV/cell
# **Fermi-level density of states**: 0.0000 states/eV/atom